(1)
This record from the Alexandria database describes a relaxed structure of NaBiRuO4. The functional is PBE.

abc: 6.4698 6.8736 9.3655
angles: 90.00 90.00 90.00
Space group Imma (No. 74)
Unique sites:
1 Na 0.0000 0.2500 0.1247 [4 per cell]
2 Bi 0.0000 0.0000 0.5000 [4 per cell]
3 Ru 0.2500 0.2500 0.7500 [4 per cell]
4 O 0.0000 0.0599 0.7441 [8 per cell]
5 O 0.2378 0.2500 0.5325 [8 per cell]

***

(2)
This record from the Alexandria database describes a relaxed structure of NaBi2RuO8. The functional is PBE.

abc: 4.8743 6.7795 5.0129
angles: 90.00 90.93 90.00
Space group P2/m (No. 10)
Unique sites:
1 Na 0.0000 0.0000 0.0000 [1 per cell]
2 Bi 0.5000 0.2479 0.5000 [2 per cell]
3 Ru 0.0000 0.5000 0.0000 [1 per cell]
4 O 0.2096 0.2932 0.1627 [4 per cell]
5 O 0.2576 0.5000 0.6948 [2 per cell]
6 O 0.2888 0.0000 0.6660 [2 per cell]

***

(3)
This record from the Alexandria database describes a relaxed structure of NaBiRuO6. The functional is PBE.

abc: 5.5248 5.5248 9.9280
angles: 90.00 90.00 120.00
Space group P-31c (No. 163)
Unique sites:
1 Na 0.0000 0.0000 0.0000 [2 per cell]
2 Bi 0.3333 0.6667 0.2500 [2 per cell]
3 Ru 0.3333 0.6667 0.7500 [2 per cell]
4 O 0.0409 0.3899 0.6401 [12 per cell]

***

(4)
This record from the Alexandria database describes a relaxed structure of NaBi2SbO6. The functional is PBE.

abc: 5.8680 5.8680 14.9723
angles: 90.00 90.00 120.00
Space group R3 (No. 146, hexagonal axes)
Unique sites:
1 Na 0.0000 0.0000 0.0000 [3 per cell]
2 Bi 0.0000 0.0000 0.2778 [3 per cell]
3 Bi 0.0000 0.0000 0.7801 [3 per cell]
4 Sb 0.0000 0.0000 0.4849 [3 per cell]
5 O 0.0084 0.4084 0.2177 [9 per cell]
6 O 0.0820 0.6875 0.0601 [9 per cell]

***

(5)
This record from the Alexandria database describes a relaxed structure of NaBi2SbO8. The functional is PBE.

abc: 4.9177 6.7516 4.9605
angles: 90.00 92.58 90.00
Space group P2/m (No. 10)
Unique sites:
1 Na 0.0000 0.0000 0.0000 [1 per cell]
2 Bi 0.5000 0.2467 0.5000 [2 per cell]
3 Sb 0.0000 0.5000 0.0000 [1 per cell]
4 O 0.1995 0.2768 0.1808 [4 per cell]
5 O 0.2840 0.5000 0.6936 [2 per cell]
6 O 0.3040 0.0000 0.6789 [2 per cell]

***

(6)
This record from the Alexandria database describes a relaxed structure of NaBi2Sb3O11. The functional is PBE.

abc: 9.6419 9.6419 9.6419
angles: 90.00 90.00 90.00
Space group Pn-3 (No. 201, origin choice 2)
Unique sites:
1 Na 0.0000 0.0000 0.0000 [4 per cell]
2 Bi 0.1240 0.1240 0.3760 [8 per cell]
3 Sb 0.0893 0.2500 0.7500 [12 per cell]
4 O 0.0391 0.7499 0.0885 [24 per cell]
5 O 0.1129 0.7500 0.7500 [12 per cell]
6 O 0.1471 0.1471 0.1471 [8 per cell]

***

(7)
This record from the Alexandria database describes a relaxed structure of Na2BiSbO6. The functional is PBE.

abc: 5.6734 5.6734 13.9819
angles: 90.00 90.00 120.00
Space group R3 (No. 146, hexagonal axes)
Unique sites:
1 Na 0.0000 0.0000 0.0000 [3 per cell]
2 Na 0.0000 0.0000 0.4985 [3 per cell]
3 Bi 0.0000 0.0000 0.7328 [3 per cell]
4 Sb 0.0000 0.0000 0.2320 [3 per cell]
5 O 0.0028 0.4040 0.9730 [9 per cell]
6 O 0.0805 0.7240 0.8112 [9 per cell]

***

(8)
This record from the Alexandria database describes a relaxed structure of NaBiSbO6. The functional is PBE.

abc: 5.5459 5.5459 10.0113
angles: 90.00 90.00 120.00
Space group P-31c (No. 163)
Unique sites:
1 Na 0.0000 0.0000 0.0000 [2 per cell]
2 Bi 0.3333 0.6667 0.2500 [2 per cell]
3 Sb 0.3333 0.6667 0.7500 [2 per cell]
4 O 0.0178 0.3755 0.6379 [12 per cell]

***

Computed values of uncorrected formation energy (unit: eV per atom) for the preceding records, in sequence: -1.132, -0.892, -0.929, -1.416, -1.045, -1.454, -1.315, -1.035.
Computed values of total DFT energy (no corrections) (unit: eV/atom) for the preceding records, in sequence: -6.033, -5.728, -5.843, -5.711, -5.451, -5.924, -5.355, -5.376.